[1]
First-principles (PBE) data for a geometry-optimized FeCoNi2 structure, as listed in Alexandria via LeMat-Bulk.

Geometry as POSCAR:
```
FeCoNi2
1.0
4.1784 -1.2597 0.0000
4.1784 1.2597 0.0000
-0.7838 0.0000 4.2249
Fe Co Ni
1 1 2
Direct
0.0000 0.0000 0.0000 Fe
0.5000 0.5000 0.5000 Co
0.2488 0.2488 0.7469 Ni
0.7512 0.7512 0.2531 Ni
```

## Properties
The calculation puts the theoretical density at 8.7 g/cm3. The total DFT energy (no corrections) comes out at -6.794 eV/atom. The calculation puts the magnetic moment at 5.59 μB/f.u. The formation energy is -11.6 meV per atom.

[2]
First-principles (PBE) data for a geometry-optimized CdIrSe2 structure, as listed in Alexandria via LeMat-Bulk.

Geometry as POSCAR:
```
CdIrSe2
1.0
4.9509 -1.8581 0.0000
4.9509 1.8581 0.0000
-1.5713 0.0000 5.1345
Cd Ir Se
1 1 2
Direct
0.0000 0.0000 0.0000 Cd
0.7121 0.7121 0.9043 Ir
0.1358 0.1358 0.5950 Se
0.3091 0.3091 0.2120 Se
```

## Properties
The calculation puts the theoretical density at 8.1 g/cm3. Its uncorrected formation energy is -111 meV per atom. The total DFT energy (no corrections) comes out at -4.297 eV/atom. The calculation puts the magnetic moment at 0.00 μB/f.u.

[3]
First-principles (PBE) data for a geometry-optimized Ho2InSn4 structure, as listed in Alexandria via LeMat-Bulk.

Geometry as POSCAR:
```
Ho2InSn4
1.0
4.5246 -4.6138 0.0000
4.5246 4.6138 0.0000
-4.4783 0.0000 4.6364
Ho In Sn
2 1 4
Direct
0.0000 0.5000 0.0000 Ho
0.5000 0.0000 0.0000 Ho
0.0000 0.0000 0.5000 In
0.0000 0.0000 0.0000 Sn
0.0000 0.5000 0.5000 Sn
0.5000 0.0000 0.5000 Sn
0.5000 0.5000 0.0000 Sn
```

## Properties
The calculation puts the theoretical density at 7.9 g/cm3. The total DFT energy (no corrections) comes out at -4.374 eV/atom. The calculation puts the magnetic moment at 0.00 μB/f.u. Its distance to the lowest polymorph of the same formula is 0.0 kJ/mol of formula units. The formation energy is -387.4 meV per atom.

[4]
First-principles (PBE) data for a geometry-optimized BiPt4 structure, as listed in Alexandria via LeMat-Bulk.

Geometry as POSCAR:
```
BiPt4
1.0
-2.0368 2.9683 7.4721
2.0368 -2.9683 7.4721
2.0368 2.9683 -7.4721
Bi Pt
2 8
Direct
0.3647 0.1147 0.2500 Bi
0.6353 0.8853 0.7500 Bi
0.0000 0.5000 0.5000 Pt
0.1607 0.9107 0.2500 Pt
0.1631 0.6891 0.4740 Pt
0.2849 0.3109 0.9740 Pt
0.5000 0.5000 0.0000 Pt
0.7151 0.6891 0.0260 Pt
0.8369 0.3109 0.5260 Pt
0.8393 0.0893 0.7500 Pt
```

## Properties
The calculation puts the theoretical density at 18.2 g/cm3. The total DFT energy (no corrections) comes out at -5.605 eV/atom. The calculation puts the magnetic moment at 0.00 μB/f.u. Its distance to the lowest polymorph of the same formula is 0.0 kJ/mol of formula units. The formation energy is 4.2 meV per atom.

[5]
First-principles (PBE) data for a geometry-optimized BeGa2Te structure, as listed in Alexandria via LeMat-Bulk.

Geometry as POSCAR:
```
BeGa2Te
1.0
0.0000 3.4407 3.4407
3.4407 0.0000 3.4407
3.4407 3.4407 0.0000
Be Ga Te
1 2 1
Direct
0.0000 0.0000 0.0000 Be
0.2500 0.2500 0.2500 Ga
0.7500 0.7500 0.7500 Ga
0.5000 0.5000 0.5000 Te
```

## Properties
The calculation puts the theoretical density at 5.6 g/cm3. Its uncorrected formation energy is 521 meV per atom. The total DFT energy (no corrections) comes out at -2.709 eV/atom. The calculation puts the magnetic moment at 0.00 μB/f.u. Its distance to the lowest polymorph of the same formula is 113.9 kJ/mol of formula units.

[6]
First-principles (PBE) data for a geometry-optimized MgRhCl2 structure, as listed in Alexandria via LeMat-Bulk.

Geometry as POSCAR:
```
MgRhCl2
1.0
3.2173 0.0000 0.0000
0.0000 3.9594 0.0000
0.0000 0.0000 5.6454
Mg Rh Cl
1 1 2
Direct
0.0000 0.0000 0.0000 Mg
0.5000 0.0000 0.5000 Rh
0.0000 0.5000 0.5000 Cl
0.5000 0.5000 0.0000 Cl
```

## Properties
The calculation puts the theoretical density at 4.6 g/cm3. Its uncorrected formation energy is -364 meV per atom. The total DFT energy (no corrections) comes out at -3.524 eV/atom. The calculation puts the magnetic moment at 0.01 μB/f.u. Its distance to the lowest polymorph of the same formula is 113.9 kJ/mol of formula units.

[7]
First-principles (PBE) data for a geometry-optimized CaEu2Gd structure, as listed in Alexandria via LeMat-Bulk.

Geometry as POSCAR:
```
CaEu2Gd
1.0
1.8466 1.0661 13.2931
-1.8466 1.0661 13.2931
0.0000 -2.1322 13.2931
Ca Eu Gd
1 2 1
Direct
0.0000 0.0000 0.0000 Ca
0.4152 0.4152 0.4152 Eu
0.5848 0.5848 0.5848 Eu
0.5000 0.5000 0.5000 Gd
```

## Properties
The calculation puts the theoretical density at 5.3 g/cm3. The total DFT energy (no corrections) comes out at -8.948 eV/atom. The calculation puts the magnetic moment at 6.79 μB/f.u. Its distance to the lowest polymorph of the same formula is 46.4 kJ/mol of formula units. The formation energy is 209.7 meV per atom.

[8]
First-principles (PBE) data for a geometry-optimized Y4SnRh2 structure, as listed in Alexandria via LeMat-Bulk.

Geometry as POSCAR:
```
Y4SnRh2
1.0
6.9178 0.0000 0.0000
-1.7461 6.8370 0.0000
-2.5804 -3.4200 7.4151
Y Sn Rh
8 2 4
Direct
0.0000 0.0000 0.0000 Y
0.0422 0.7209 0.5825 Y
0.1196 0.2985 0.7372 Y
0.2584 0.6290 0.1855 Y
0.5054 0.5621 0.5798 Y
0.5842 0.1411 0.7380 Y
0.6607 0.1593 0.3189 Y
0.7322 0.6018 0.1336 Y
0.1721 0.0537 0.3948 Sn
0.4379 0.8184 0.9240 Sn
0.0388 0.3736 0.3113 Rh
0.3864 0.2213 0.0079 Rh
0.7271 0.8867 0.4940 Rh
0.8913 0.5519 0.8245 Rh
```

## Properties
The calculation puts the theoretical density at 6.4 g/cm3. The total DFT energy (no corrections) comes out at -7.067 eV/atom. The calculation puts the magnetic moment at 0.00 μB/f.u. The formation energy is -701.0 meV per atom.

[9]
First-principles (PBE) data for a geometry-optimized KRb4H5 structure, as listed in Alexandria via LeMat-Bulk.

Geometry as POSCAR:
```
KRb4H5
1.0
2.0925 1.2081 17.0935
-2.0925 1.2081 17.0935
0.0000 -2.4162 17.0935
K Rb H
1 4 5
Direct
0.0000 0.0000 0.0000 K
0.2007 0.2007 0.2007 Rb
0.3980 0.3980 0.3980 Rb
0.6020 0.6020 0.6020 Rb
0.7993 0.7993 0.7993 Rb
0.0989 0.0989 0.0989 H
0.3025 0.3025 0.3025 H
0.5000 0.5000 0.5000 H
0.6975 0.6975 0.6975 H
0.9011 0.9011 0.9011 H
```

## Properties
The calculation puts the theoretical density at 2.5 g/cm3. The total DFT energy (no corrections) comes out at -2.351 eV/atom. The calculation puts the magnetic moment at 0.00 μB/f.u.

[10]
First-principles (PBE) data for a geometry-optimized AlTlCu2 structure, as listed in Alexandria via LeMat-Bulk.

Geometry as POSCAR:
```
AlTlCu2
1.0
1.5698 0.9063 8.1427
-1.5698 0.9063 8.1427
0.0000 -1.8126 8.1427
Al Tl Cu
1 1 2
Direct
0.0000 0.0000 0.0000 Al
0.5000 0.5000 0.5000 Tl
0.2593 0.2593 0.2593 Cu
0.7407 0.7407 0.7407 Cu
```

## Properties
The calculation puts the theoretical density at 8.6 g/cm3. The total DFT energy (no corrections) comes out at -3.352 eV/atom. The calculation puts the magnetic moment at 0.00 μB/f.u. Its distance to the lowest polymorph of the same formula is 45.5 kJ/mol of formula units. The formation energy is 223.7 meV per atom.

[11]
First-principles (PBE) data for a geometry-optimized La2Zn3Ga4Cu structure, as listed in Alexandria via LeMat-Bulk.

Geometry as POSCAR:
```
La2Zn3Ga4Cu
1.0
4.3305 0.0000 0.0000
0.0000 4.3305 0.0000
0.0000 0.0000 10.5098
La Zn Ga Cu
2 3 4 1
Direct
0.0000 0.5000 0.2454 La
0.5000 0.0000 0.7546 La
0.0000 0.0000 0.0000 Zn
0.0000 0.5000 0.6372 Zn
0.5000 0.0000 0.3628 Zn
0.0000 0.0000 0.5000 Ga
0.0000 0.5000 0.8755 Ga
0.5000 0.0000 0.1245 Ga
0.5000 0.5000 0.5000 Ga
0.5000 0.5000 0.0000 Cu
```

## Properties
The calculation puts the theoretical density at 6.9 g/cm3. The total DFT energy (no corrections) comes out at -3.478 eV/atom. The calculation puts the magnetic moment at 0.00 μB/f.u. The formation energy is -489.7 meV per atom.

[12]
First-principles (PBE) data for a geometry-optimized MgScBe3 structure, as listed in Alexandria via LeMat-Bulk.

Geometry as POSCAR:
```
MgScBe3
1.0
4.3160 0.0000 0.0000
0.0000 4.3160 0.0000
0.0000 0.0000 4.3160
Mg Sc Be
1 1 3
Direct
0.0000 0.0000 0.0000 Mg
0.5000 0.5000 0.5000 Sc
0.0000 0.0000 0.5000 Be
0.0000 0.5000 0.0000 Be
0.5000 0.0000 0.0000 Be
```

## Properties
The calculation puts the theoretical density at 2.0 g/cm3. The total DFT energy (no corrections) comes out at -2.882 eV/atom. The calculation puts the magnetic moment at 0.00 μB/f.u. Its distance to the lowest polymorph of the same formula is 0.0 kJ/mol of formula units. The formation energy is 939.4 meV per atom.

magnetic moment of number 7 (CaEu2Gd)?
6.79 μB/f.u.

The highest theoretical density belongs to which entry?
BiPt4